NaLaSc3, relaxed, DFT GGA-PBE; space group = No. 221; energy above the lowest structure with this stoichiometry = 122 meV/atom; ΔH_f (0 K) = 0.86 eV per atom; total magnetic moment = 0.000 μB/atom
1.0
5.4124 0.0000 0.0000
0.0000 5.4124 0.0000
0.0000 0.0000 5.4124
Sc Na La
3 1 1
Cartesian
0.0000 2.7062 0.0000 Sc
0.0000 0.0000 2.7062 Sc
2.7062 0.0000 0.0000 Sc
2.7062 2.7062 2.7062 Na
0.0000 0.0000 0.0000 La